# 1
A plane-wave DFT calculation with PBE was carried out for a relaxed TaGaReIr crystal.

Structure (CIF):
```
data_TaGaReIr
_chemical_formula_sum 'Ta4 Ga4 Re4 Ir4'
_space_group_name_H-M_alt 'F -4 3 m'
_space_group_IT_number 216
_space_group_name_Hall 'F -4 2 3'
_cell_length_a 6.279
_cell_length_b 6.279
_cell_length_c 6.279
_cell_angle_alpha 90.00
_cell_angle_beta 90.00
_cell_angle_gamma 90.00
loop_
_atom_site_label
_atom_site_type_symbol
_atom_site_fract_x
_atom_site_fract_y
_atom_site_fract_z
Ta1 Ta 0.000 0.000 0.000
Ga1 Ga 0.000 0.000 0.500
Re1 Re 0.250 0.250 0.250
Ir1 Ir 0.250 0.250 0.750
```

# 2
A plane-wave DFT calculation with PBE was carried out for a relaxed TlGaRe2Ir crystal.

Structure (CIF):
```
data_TlGaRe2Ir
_chemical_formula_sum 'Tl1 Ga1 Re2 Ir1'
_space_group_name_H-M_alt 'P 4/m m m'
_space_group_IT_number 123
_space_group_name_Hall '-P 4 2'
_cell_length_a 4.572
_cell_length_b 4.572
_cell_length_c 4.817
_cell_angle_alpha 90.00
_cell_angle_beta 90.00
_cell_angle_gamma 90.00
loop_
_atom_site_label
_atom_site_type_symbol
_atom_site_fract_x
_atom_site_fract_y
_atom_site_fract_z
Tl1 Tl 0.000 0.000 0.000
Ga1 Ga 0.000 0.000 0.500
Re1 Re 0.000 0.500 0.500
Ir1 Ir 0.500 0.500 0.000
```

# 3
A plane-wave DFT calculation with PBE was carried out for a relaxed VGaReIr crystal.

Structure (CIF):
```
data_VGaReIr
_chemical_formula_sum 'V4 Ga4 Re4 Ir4'
_space_group_name_H-M_alt 'F -4 3 m'
_space_group_IT_number 216
_space_group_name_Hall 'F -4 2 3'
_cell_length_a 6.095
_cell_length_b 6.095
_cell_length_c 6.095
_cell_angle_alpha 90.00
_cell_angle_beta 90.00
_cell_angle_gamma 90.00
loop_
_atom_site_label
_atom_site_type_symbol
_atom_site_fract_x
_atom_site_fract_y
_atom_site_fract_z
V1 V 0.000 0.000 0.000
Ga1 Ga 0.000 0.000 0.500
Re1 Re 0.250 0.250 0.750
Ir1 Ir 0.250 0.250 0.250
```

The following formation energy from the elements values (in eV/atom) correspond, in order, to the records above: -0.34, 2.15, -0.28.